(1)
# PBE Ac8GeRu3I4, relaxed
data_Ac8GeRu3I4
_cell_length_a 8.903
_cell_length_b 9.957
_cell_length_c 8.902
_cell_angle_alpha 116.52
_cell_angle_beta 120.01
_cell_angle_gamma 90.00
_symmetry_space_group_name_H-M 'P 1'
_symmetry_Int_Tables_number 1
loop_
_symmetry_equiv_pos_as_xyz
'x,y,z'
loop_
_atom_site_label
_atom_site_fract_x
_atom_site_fract_y
_atom_site_fract_z
Ac1 0.236 0.681 0.946
Ac2 0.236 0.681 0.471
Ac3 0.269 0.305 0.537
Ac4 0.710 0.681 0.946
Ac5 0.290 0.319 0.054
Ac6 0.731 0.695 0.463
Ac7 0.764 0.319 0.529
Ac8 0.764 0.319 0.054
Ge1 0.000 0.500 0.000
Ru1 0.500 0.500 0.000
Ru2 0.500 0.500 0.500
Ru3 0.000 0.500 0.500
I1 0.500 0.000 0.000
I2 0.500 0.000 0.500
I3 0.000 0.000 0.000
I4 0.000 0.000 0.500
# energy: -5.2463 eV per atom
# symmetry: No. 166

(2)
# PBE Pr2HoEr, relaxed
data_Pr2HoEr
_cell_length_a 3.635
_cell_length_b 3.635
_cell_length_c 10.101
_cell_angle_alpha 90.00
_cell_angle_beta 90.00
_cell_angle_gamma 90.00
_symmetry_space_group_name_H-M 'P 1'
_symmetry_Int_Tables_number 1
loop_
_symmetry_equiv_pos_as_xyz
'x,y,z'
loop_
_atom_site_label
_atom_site_fract_x
_atom_site_fract_y
_atom_site_fract_z
Pr1 0.000 0.000 0.749
Pr2 0.000 0.000 0.251
Ho1 0.500 0.500 0.000
Er1 0.500 0.500 0.500
# energy relative to the elements: 0.0222 eV/atom
# relative energy among the computed polymorphs: 8 meV/atom
# symmetry: No. 123

(3)
# PBE Th6Tc2Sn, relaxed
data_Th6Tc2Sn
_cell_length_a 8.725
_cell_length_b 8.725
_cell_length_c 8.725
_cell_angle_alpha 100.62
_cell_angle_beta 113.88
_cell_angle_gamma 114.27
_symmetry_space_group_name_H-M 'P 1'
_symmetry_Int_Tables_number 1
loop_
_symmetry_equiv_pos_as_xyz
'x,y,z'
loop_
_atom_site_label
_atom_site_fract_x
_atom_site_fract_y
_atom_site_fract_z
Th1 0.519 0.704 0.815
Th2 0.481 0.296 0.185
Th3 0.110 0.296 0.815
Th4 0.890 0.704 0.185
Th5 0.799 0.758 0.557
Th6 0.201 0.242 0.443
Th7 0.201 0.758 0.959
Th8 0.799 0.242 0.041
Th9 0.692 0.359 0.666
Th10 0.308 0.641 0.334
Th11 0.308 0.974 0.666
Th12 0.692 0.026 0.334
Tc1 0.500 0.365 0.865
Tc2 0.500 0.635 0.135
Tc3 0.669 0.000 0.669
Tc4 0.331 0.000 0.331
Sn1 0.000 0.500 0.500
Sn2 0.000 0.000 0.000
# energy relative to the elements: -0.2001 eV/atom
# symmetry: No. 71

(4)
# PBE KScB2P, relaxed
data_KScB2P
_cell_length_a 4.229
_cell_length_b 4.768
_cell_length_c 4.229
_cell_angle_alpha 90.00
_cell_angle_beta 90.00
_cell_angle_gamma 90.00
_symmetry_space_group_name_H-M 'P 1'
_symmetry_Int_Tables_number 1
loop_
_symmetry_equiv_pos_as_xyz
'x,y,z'
loop_
_atom_site_label
_atom_site_fract_x
_atom_site_fract_y
_atom_site_fract_z
Sc1 0.000 0.500 0.000
P1 0.000 0.000 0.000
K1 0.500 0.500 0.500
B1 0.000 0.000 0.500
B2 0.500 0.000 0.000
# energy relative to the elements: 1.0325 eV/atom
# relative energy among the computed polymorphs: 0 meV/atom
# symmetry: No. 123

(5)
# PBE IrBrCl, relaxed
data_IrBrCl
_cell_length_a 4.440
_cell_length_b 4.440
_cell_length_c 4.440
_cell_angle_alpha 60.00
_cell_angle_beta 60.00
_cell_angle_gamma 60.00
_symmetry_space_group_name_H-M 'P 1'
_symmetry_Int_Tables_number 1
loop_
_symmetry_equiv_pos_as_xyz
'x,y,z'
loop_
_atom_site_label
_atom_site_fract_x
_atom_site_fract_y
_atom_site_fract_z
Ir1 0.750 0.750 0.750
Br1 0.000 0.000 0.000
Cl1 0.500 0.500 0.500
# relative energy among the computed polymorphs: 511 meV/atom
# symmetry: No. 216

(6)
# PBE Ba2SrAl, relaxed
data_Ba2SrAl
_cell_length_a 8.010
_cell_length_b 8.010
_cell_length_c 8.010
_cell_angle_alpha 149.61
_cell_angle_beta 135.04
_cell_angle_gamma 55.24
_symmetry_space_group_name_H-M 'P 1'
_symmetry_Int_Tables_number 1
loop_
_symmetry_equiv_pos_as_xyz
'x,y,z'
loop_
_atom_site_label
_atom_site_fract_x
_atom_site_fract_y
_atom_site_fract_z
Sr1 0.750 0.250 0.500
Ba1 0.059 0.059 0.000
Ba2 0.441 0.441 0.000
Al1 0.250 0.750 0.500
# energy relative to the elements: 0.0371 eV/atom
# symmetry: No. 71

Magnetization readings, ordered: 0.0 0.0 0.0 0.0 0.0 0.0 μB per formula unit
N(E_F) readings, ordered: 9.05 5.96 24.08 2.62 2.49 5.76 states/eV per cell